Sm4Ga2S after structural relaxation. Source: the Alexandria database, functional PBE.

As for the formation energy from raw total energies: -0.911 eV per atom. For the total energy, the calculation gives -0.1860 Ha/atom. The volume comes out at 26.5 A^3/atom. The value obtained for the density of states at the Fermi level is 0.991 states/eV/atom.

The structure belongs to space group C2/m (No. 12); the cell edges are 12.215, 4.242 and 8.667 Å and the angles 90.00°, 124.40° and 90.00°. Symmetry generates all atoms from Sm at (0.084, 0.000, 0.372), Sm at (0.175, 0.500, 0.087), Ga at (0.120, 0.500, 0.662) and S at (0.000, 0.000, 0.000).